LaPmCuPt | PBE | optimized geometry

Structure (extended XYZ):
```
4
Lattice="-1.067 -0.084 -5.010 -1.280 -4.409 -2.273 -4.812 -0.764 -1.582" Properties=species:S:1:pos:R:3 pbc="T T T"
La -3.580 -2.628 -4.432
Cu -1.790 -1.314 -2.216
Pt -5.369 -3.942 -6.649
Pm 0.000 0.000 0.000
```

Calculated values
total energy: -5.584 eV/atom
polymorph energy (0 for the lowest one): 6.2 kJ/mol of atoms
density of states at the Fermi level: 2.59 states/eV per cell
crystal system: cubic